Record 1
DFT (PBE) results for an optimized crystal structure of Nd4Tm5Mg.

Values from the calculation:
As for the volume: 31.43 A^3/atom. For the energy, the calculation gives -0.316 Ry per atom. The formation energy is 0.01 eV/atom. Its energy above the lowest structure with this stoichiometry is 0 meV/atom.

The structure in POSCAR format:
```
Nd4Tm5Mg
1.0
-1.713 -3.145 -0.464
3.026 -1.775 0.857
-6.500 0.121 23.202
Tm Nd Mg
5 4 1
Direct
0.500 0.500 0.292 Tm
0.500 0.500 0.500 Tm
0.500 0.500 0.708 Tm
0.500 0.500 0.086 Tm
0.500 0.500 0.914 Tm
0.000 0.000 0.812 Nd
0.000 0.000 0.396 Nd
0.000 0.000 0.604 Nd
0.000 0.000 0.188 Nd
0.000 0.000 0.000 Mg
```

Record 2
DFT (PBE) results for an optimized crystal structure of CaTbPmNd.

Values from the calculation:
As for the volume: 35.43 A^3/atom. For the energy, the calculation gives -0.293 Ry per atom. The formation energy is 0.05 eV/atom. Its energy above the lowest structure with this stoichiometry is 0 meV/atom.

The structure in POSCAR format:
```
CaTbPmNd
1.0
-2.365 -2.777 0.386
1.078 -0.434 3.479
-7.436 6.769 3.148
Nd Pm Ca Tb
1 1 1 1
Direct
0.646 0.354 0.456 Nd
0.646 0.354 0.989 Pm
0.146 0.854 0.723 Ca
0.146 0.854 0.221 Tb
```

Record 3
DFT (PBE) results for an optimized crystal structure of AlSi2Se.

Values from the calculation:
As for the volume: 18.72 A^3/atom. For the energy, the calculation gives -0.308 Ry per atom. The value obtained for the raw formation energy is 1.3 eV per formula unit. Its energy above the lowest structure with this stoichiometry is 358 meV/atom.

The structure in POSCAR format:
```
AlSi2Se
1.0
2.958 0.048 0.000
-0.830 2.839 0.000
0.000 0.000 8.876
Si Se Al
2 1 1
Direct
0.000 0.000 0.063 Si
0.500 0.500 0.263 Si
0.500 0.500 0.690 Se
0.000 0.000 0.483 Al
```

Record 4
DFT (PBE) results for an optimized crystal structure of LaPu2ThSb4.

Values from the calculation:
As for the volume: 32.27 A^3/atom. For the energy, the calculation gives -0.591 Ry per atom. The value obtained for the raw formation energy is -6.9 eV per formula unit.

The structure in POSCAR format:
```
LaPu2ThSb4
1.0
-3.269 0.119 -3.105
-4.979 -3.028 5.125
-3.538 5.763 3.945
Th Sb La Pu
1 4 1 2
Direct
0.000 0.500 0.500 Th
0.500 0.757 0.251 Sb
0.000 0.241 0.257 Sb
0.000 0.759 0.743 Sb
0.500 0.243 0.749 Sb
0.500 0.500 0.000 La
0.500 0.000 0.500 Pu
0.000 0.000 0.000 Pu
```

Record 5
DFT (PBE) results for an optimized crystal structure of CaNd2DyY4.

Values from the calculation:
As for the volume: 34.89 A^3/atom. For the energy, the calculation gives -0.355 Ry per atom. The formation energy is 0.42 eV/atom.

The structure in POSCAR format:
```
CaNd2DyY4
1.0
-7.795 -0.528 5.687
-3.028 -8.054 -4.398
11.245 3.172 2.948
Y Nd Dy Ca
8 4 2 2
Direct
0.750 0.746 0.485 Y
0.249 0.750 0.499 Y
0.751 0.250 0.501 Y
0.750 0.251 0.001 Y
0.754 0.750 0.015 Y
0.250 0.254 0.515 Y
0.246 0.250 0.985 Y
0.250 0.749 0.999 Y
0.500 0.000 0.500 Nd
0.500 0.500 0.000 Nd
0.500 0.000 0.000 Nd
0.000 0.000 0.500 Nd
0.000 0.500 0.000 Dy
0.000 0.500 0.500 Dy
0.500 0.500 0.500 Ca
0.000 0.000 0.000 Ca
```

Record 6
DFT (PBE) results for an optimized crystal structure of CrTe6Pd3.

Values from the calculation:
As for the volume: 26.20 A^3/atom. For the energy, the calculation gives -0.339 Ry per atom. The value obtained for the raw formation energy is -2.1 eV per formula unit.

The structure in POSCAR format:
```
CrTe6Pd3
1.0
5.020 0.436 4.181
1.743 7.473 5.440
1.034 1.813 8.929
Te Pd Cr
6 3 1
Direct
0.057 0.738 0.931 Te
0.248 0.633 0.273 Te
0.752 0.367 0.727 Te
0.426 0.898 0.339 Te
0.574 0.102 0.661 Te
0.943 0.262 0.069 Te
0.500 0.500 0.000 Pd
0.500 0.000 0.500 Pd
0.500 0.500 0.500 Pd
0.000 0.000 0.000 Cr
```

Record 7
DFT (PBE) results for an optimized crystal structure of SrPb3.

Values from the calculation:
As for the volume: 33.24 A^3/atom. For the energy, the calculation gives -0.248 Ry per atom. The formation energy is -0.17 eV/atom.

The structure in POSCAR format:
```
SrPb3
1.0
-0.737 3.601 -0.252
-3.071 -0.490 1.977
5.046 1.610 8.238
Pb Sr
3 1
Direct
0.000 0.000 0.509 Pb
0.000 0.000 0.991 Pb
0.500 0.500 0.750 Pb
0.500 0.500 0.250 Sr
```

Record 8
DFT (PBE) results for an optimized crystal structure of BaLiZn.

Values from the calculation:
As for the volume: 36.45 A^3/atom. For the energy, the calculation gives -0.122 Ry per atom. The formation energy is 0.04 eV/atom. Its energy above the lowest structure with this stoichiometry is 138 meV/atom.

The structure in POSCAR format:
```
BaLiZn
1.0
-4.371 -1.633 -2.652
0.509 -2.988 -4.430
-1.409 -5.179 0.080
Li Zn Ba
1 1 1
Direct
0.500 0.500 0.500 Li
0.750 0.750 0.750 Zn
0.000 0.000 0.000 Ba
```

Record 9
DFT (PBE) results for an optimized crystal structure of UMnFe2.

Values from the calculation:
As for the volume: 13.90 A^3/atom. For the energy, the calculation gives -0.660 Ry per atom. The formation energy is 0.37 eV/atom.

The structure in POSCAR format:
```
UMnFe2
1.0
-2.235 -0.884 -1.151
-2.019 -0.871 1.505
-4.850 7.777 0.355
U Fe Mn
1 2 1
Direct
0.500 0.500 0.500 U
0.261 0.261 0.217 Fe
0.739 0.739 0.783 Fe
0.000 0.000 0.000 Mn
```

Record 10
DFT (PBE) results for an optimized crystal structure of LiAsPF2.

Values from the calculation:
As for the volume: 16.04 A^3/atom. For the energy, the calculation gives -0.299 Ry per atom. The value obtained for the raw formation energy is -4.6 eV per formula unit.

The structure in POSCAR format:
```
LiAsPF2
1.0
3.950 0.000 0.000
0.000 5.140 0.000
0.000 0.000 3.950
F P As Li
2 1 1 1
Direct
0.500 0.000 0.000 F
0.000 0.000 0.500 F
0.000 0.000 0.000 P
0.000 0.500 0.000 As
0.500 0.500 0.500 Li
```

Record 11
DFT (PBE) results for an optimized crystal structure of NbPt3Rh3.

Values from the calculation:
As for the volume: 16.42 A^3/atom. For the energy, the calculation gives -0.537 Ry per atom. The formation energy is -0.13 eV/atom. Its energy above the lowest structure with this stoichiometry is 0 meV/atom.

The structure in POSCAR format:
```
NbPt3Rh3
1.0
5.562 -0.028 -0.001
-0.025 7.492 -0.001
0.001 0.001 5.518
Rh Pt Nb
6 6 2
Direct
0.000 0.000 0.755 Rh
0.000 0.500 0.249 Rh
0.500 0.000 0.251 Rh
0.000 0.000 0.245 Rh
0.500 0.000 0.749 Rh
0.000 0.500 0.751 Rh
0.728 0.263 0.000 Pt
0.750 0.259 0.500 Pt
0.250 0.741 0.500 Pt
0.272 0.269 0.500 Pt
0.728 0.731 0.500 Pt
0.272 0.737 0.000 Pt
0.250 0.255 0.000 Nb
0.750 0.745 0.000 Nb
```